Entry 1:
The following is a PBE calculation of a relaxed SmNpGe4 crystal, from the Alexandria database.

a = 5.616 Å, b = 5.616 Å, c = 5.616 Å
α = 60.00°, β = 60.00°, γ = 60.00°
Each line ends with the local moment (μB).
Fractional coordinates of all 6 atoms:
Ge: 0.624 0.624 0.624  0.01
Ge: 0.624 0.624 0.127  0.01
Ge: 0.624 0.127 0.624  0.01
Ge: 0.127 0.624 0.624  0.01
Sm: 0.000 0.000 0.000  0.39
Np: 0.250 0.250 0.250  4.39

Calculated values
The symmetry is No. 216. The value obtained for the formation energy is -0.96 eV per formula unit.



Entry 2:
The following is a PBE calculation of a relaxed TlCdCo crystal, from the Alexandria database.

a = 6.034 Å, b = 6.034 Å, c = 6.034 Å
α = 149.03°, β = 149.09°, γ = 44.32°
Each line ends with the local moment (μB).
Fractional coordinates of all 3 atoms:
Cd: 0.974 0.974 0.000  -0.03
Co: 0.335 0.335 0.000  1.05
Tl: 0.691 0.691 0.000  0.00

Calculated values
The symmetry is No. 107. As for the energy above the lowest structure with this stoichiometry: 0.0 meV/atom. The value obtained for the formation energy is 1.30 eV per formula unit.



Entry 3:
The following is a PBE calculation of a relaxed CeEr2S crystal, from the Alexandria database.

a = 3.559 Å, b = 3.559 Å, c = 10.269 Å
α = 80.02°, β = 80.02°, γ = 60.00°
Each line ends with the local moment (μB).
Fractional coordinates of all 4 atoms:
S: 0.500 0.500 0.500  0.00
Er: 0.889 0.889 0.333  -0.03
Er: 0.111 0.111 0.667  -0.03
Ce: 0.000 0.000 0.000  0.79

Calculated values
The symmetry is No. 166.



Entry 4:
The following is a PBE calculation of a relaxed PmYGe2Pt5 crystal, from the Alexandria database.

a = 4.297 Å, b = 4.297 Å, c = 9.068 Å
α = 90.00°, β = 90.00°, γ = 90.00°
Fractional coordinates of all 9 atoms:
Pt: 0.500 0.000 0.730
Pt: 0.500 0.500 0.500
Pt: 0.000 0.500 0.270
Pt: 0.500 0.000 0.270
Pt: 0.000 0.500 0.730
Ge: 0.500 0.500 0.134
Ge: 0.500 0.500 0.866
Y: 0.000 0.000 0.000
Pm: 0.000 0.000 0.500

Calculated values
The symmetry is No. 123. The value obtained for the formation energy is -8.11 eV per formula unit.



Entry 5:
The following is a PBE calculation of a relaxed Ce2IrPb crystal, from the Alexandria database.

a = 3.437 Å, b = 3.437 Å, c = 8.551 Å
α = 90.00°, β = 90.00°, γ = 90.00°
Each line ends with the local moment (μB).
Fractional coordinates of all 4 atoms:
Pb: 0.500 0.500 0.500  -0.01
Ce: 0.000 0.000 0.795  0.58
Ce: 0.000 0.000 0.205  0.58
Ir: 0.500 0.500 0.000  -0.05

Calculated values
The symmetry is No. 123. As for the energy above the lowest structure with this stoichiometry: 8.9 meV/atom. The value obtained for the formation energy is -2.21 eV per formula unit.



Entry 6:
The following is a PBE calculation of a relaxed TaSiHg2 crystal, from the Alexandria database.

a = 5.027 Å, b = 5.027 Å, c = 5.509 Å
α = 78.46°, β = 78.46°, γ = 35.08°
Fractional coordinates of all 4 atoms:
Ta: 0.244 0.244 0.305
Hg: 0.754 0.754 0.770
Hg: 0.993 0.993 0.001
Si: 0.508 0.508 0.424

Calculated values
The symmetry is No. 8.



Entry 7:
The following is a PBE calculation of a relaxed Ho3Zn8Rh crystal, from the Alexandria database.

a = 5.269 Å, b = 5.269 Å, c = 9.330 Å
α = 73.60°, β = 73.60°, γ = 60.00°
Fractional coordinates of all 12 atoms:
Zn: 0.434 0.936 0.196
Zn: 0.938 0.444 0.680
Zn: 0.188 0.188 0.436
Zn: 0.936 0.434 0.196
Zn: 0.434 0.434 0.196
Zn: 0.938 0.938 0.680
Zn: 0.686 0.686 0.943
Zn: 0.444 0.938 0.680
Ho: 0.504 0.504 0.487
Ho: 0.379 0.379 0.864
Ho: 0.988 0.988 0.035
Rh: 0.882 0.882 0.355

Calculated values
The symmetry is No. 160. The value obtained for the formation energy is -4.27 eV per formula unit.



Entry 8:
The following is a PBE calculation of a relaxed LiErS2 crystal, from the Alexandria database.

a = 6.557 Å, b = 6.557 Å, c = 6.557 Å
α = 34.40°, β = 34.40°, γ = 34.40°
Fractional coordinates of all 4 atoms:
Li: 0.500 0.500 0.500
S: 0.250 0.250 0.250
S: 0.750 0.750 0.750
Er: 0.000 0.000 0.000

Calculated values
The symmetry is No. 166.



Entry 9:
The following is a PBE calculation of a relaxed AlTe3 crystal, from the Alexandria database.

a = 8.434 Å, b = 8.434 Å, c = 3.857 Å
α = 90.00°, β = 90.00°, γ = 119.98°
Fractional coordinates of all 8 atoms:
Te: 0.383 0.192 0.750
Te: 0.192 0.383 0.250
Te: 0.809 0.191 0.750
Te: 0.191 0.809 0.250
Te: 0.808 0.617 0.750
Te: 0.617 0.808 0.250
Al: 0.333 0.667 0.750
Al: 0.667 0.333 0.250

Calculated values
The symmetry is No. 63.



Entry 10:
The following is a PBE calculation of a relaxed InTe2P2Pd7 crystal, from the Alexandria database.

a = 3.964 Å, b = 3.964 Å, c = 14.752 Å
α = 82.33°, β = 82.33°, γ = 89.99°
Fractional coordinates of all 12 atoms:
P: 0.383 0.383 0.235
P: 0.617 0.617 0.765
Pd: 0.500 0.500 0.000
Pd: 0.697 0.697 0.604
Pd: 0.573 0.073 0.852
Pd: 0.427 0.927 0.148
Pd: 0.927 0.427 0.148
Pd: 0.073 0.573 0.852
Pd: 0.303 0.303 0.396
In: 0.000 0.000 0.000
Te: 0.207 0.207 0.584
Te: 0.793 0.793 0.416

Calculated values
The symmetry is No. 12.



Entry 11:
The following is a PBE calculation of a relaxed HfTa2Al2 crystal, from the Alexandria database.

a = 3.894 Å, b = 3.897 Å, c = 6.785 Å
α = 106.69°, β = 106.68°, γ = 90.00°
Fractional coordinates of all 5 atoms:
Hf: 0.000 0.000 0.000
Al: 0.403 0.403 0.806
Al: 0.597 0.597 0.194
Ta: 0.750 0.250 0.500
Ta: 0.250 0.750 0.500

Calculated values
The symmetry is No. 139. As for the energy above the lowest structure with this stoichiometry: 152.5 meV/atom. The value obtained for the formation energy is -0.48 eV per formula unit.



Entry 12:
The following is a PBE calculation of a relaxed TcAsI3 crystal, from the Alexandria database.

a = 5.347 Å, b = 5.347 Å, c = 5.347 Å
α = 90.00°, β = 90.00°, γ = 90.00°
Fractional coordinates of all 5 atoms:
I: 0.000 0.500 0.000
I: 0.500 0.000 0.000
I: 0.000 0.000 0.500
Tc: 0.000 0.000 0.000
As: 0.500 0.500 0.500

Calculated values
The symmetry is No. 221. As for the energy above the lowest structure with this stoichiometry: 0.0 meV/atom.



Computed total energy (eV/atom) in order:
-6.182, -3.028, -5.482, -6.529, -6.661, -4.102, -2.962, -5.541, -3.278, -5.117, -8.325, -3.148
Computed total moment (μB/cell) in order:
5.7, 1.0, 0.9, 0.0, 1.3, 0.0, 0.0, 0.0, 0.0, 0.0, 0.0, 0.0